No. 1
Compound: MgZnP3
Source: Alexandria via LeMat-Bulk
Functional: PBEsol
Structure: relaxed

E_form = 66.8 kJ/mol of atoms
space-group type = No. 221
crystal system = cubic

Lattice parameters (Å, degrees): 4.6059 4.6059 4.6059 90.00 90.00 90.00
Fractional positions:
1 P 0.0000 0.5000 0.0000
2 P 0.0000 0.0000 0.5000
3 P 0.5000 0.0000 0.0000
4 Zn 0.0000 0.0000 0.0000
5 Mg 0.5000 0.5000 0.5000

No. 2
Compound: K2PrBr5
Source: Alexandria via LeMat-Bulk
Functional: PBEsol
Structure: relaxed

formation energy from raw total energies = -1.848 eV per atom
space-group type = No. 62
crystal system = orthorhombic

Lattice parameters (Å, degrees): 8.3830 9.1100 13.2061 90.00 90.00 90.00
Fractional positions:
1 K 0.5571 0.4951 0.6725
2 K 0.0571 0.5049 0.8275
3 K 0.4429 0.9951 0.3275
4 K 0.9429 0.0049 0.1725
5 K 0.4429 0.5049 0.3275
6 K 0.9429 0.4951 0.1725
7 K 0.5571 0.0049 0.6725
8 K 0.0571 0.9951 0.8275
9 Pr 0.0799 0.2500 0.5073
10 Pr 0.4201 0.2500 0.0073
11 Pr 0.9201 0.7500 0.4927
12 Pr 0.5799 0.7500 0.9927
13 Br 0.4318 0.2500 0.5068
14 Br 0.6698 0.0466 0.9223
15 Br 0.1698 0.9534 0.5777
16 Br 0.3302 0.5466 0.0777
17 Br 0.9318 0.7500 0.9932
18 Br 0.3358 0.2500 0.7911
19 Br 0.0682 0.2500 0.0068
20 Br 0.5682 0.7500 0.4932
21 Br 0.8712 0.2500 0.6844
22 Br 0.8358 0.7500 0.7089
23 Br 0.6642 0.7500 0.2089
24 Br 0.1642 0.2500 0.2911
25 Br 0.3302 0.9534 0.0777
26 Br 0.3712 0.7500 0.8156
27 Br 0.1288 0.7500 0.3156
28 Br 0.6288 0.2500 0.1844
29 Br 0.1698 0.5466 0.5777
30 Br 0.6698 0.4534 0.9223
31 Br 0.8302 0.0466 0.4223
32 Br 0.8302 0.4534 0.4223

No. 3
Compound: ScSb2Ir
Source: Alexandria via LeMat-Bulk
Functional: PBEsol
Structure: relaxed

formation energy from raw total energies = -0.430 eV per atom
space-group type = No. 44
crystal system = orthorhombic

Lattice parameters (Å, degrees): 3.7095 3.9249 6.1990 108.46 107.41 90.00
Fractional positions:
1 Ir 0.7140 0.2140 0.4281
2 Sb 0.0414 0.0414 0.0829
3 Sb 0.2759 0.7759 0.5519
4 Sc 0.4686 0.4686 0.9371

No. 4
Compound: SiPt2Rh
Source: Alexandria via LeMat-Bulk
Functional: PBEsol
Structure: relaxed

formation energy from raw total energies = -0.278 eV per atom
space-group type = No. 12
crystal system = monoclinic

Lattice parameters (Å, degrees): 2.7605 4.4301 5.3643 114.26 104.71 90.46
Fractional positions:
1 Pt 0.0000 0.0000 0.5000
2 Pt 0.5000 0.5000 0.5000
3 Rh 0.0000 0.0000 0.0000
4 Si 0.5000 0.5000 0.0000

Number 1: N(E_F) 3.52 states/eV per cell, total magnetization 0.000 μB per atom. Number 2: N(E_F) 0.00 states/eV per cell, total magnetization 0.000 μB per atom. Number 3: N(E_F) 1.71 states/eV per cell, total magnetization 0.000 μB per atom. Number 4: N(E_F) 2.05 states/eV per cell, total magnetization 0.000 μB per atom.